Here is a geometry-optimized BaCa2La2 structure from Alexandria. Energies are from PBE.

## Properties
For the electronic total energy, the calculation gives -3.016 eV per atom. Its density is 3.72 g cm⁻³. Its excess energy over the best structure of this formula in the dataset is 0.0 meV per atom. The formation energy is 13 kJ per mole of atoms.

Lattice parameters (Å, degrees): 10.3636 10.3636 4.1141 90.00 90.00 90.00
Closest atoms and distances in Å follow each position.
Space group P4/mbm (No. 127)
One atom of each set of equivalent atoms:
Ba 0.0000 0.0000 0.0000 (multiplicity 2)  2 Ba 4.11, 4 La 4.19, 8 Ca 4.33
Ca 0.1786 0.3214 0.5000 (multiplicity 4)  6 La 3.70-3.71, 2 Ca 4.11
La 0.1117 0.6117 0.0000 (multiplicity 4)  1 La 3.27

---

Here is a geometry-optimized Ba2CaLa structure from Alexandria. Energies are from PBE.

## Properties
For the electronic total energy, the calculation gives -2.548 eV per atom. Its density is 3.83 g cm⁻³. Its excess energy over the best structure of this formula in the dataset is 45.1 meV per atom. The formation energy is 14 kJ per mole of atoms.

Lattice parameters (Å, degrees): 4.0536 5.8311 8.3299 90.00 90.00 90.00
Closest atoms and distances in Å follow each position.
Space group Pmm2 (No. 25)
One atom of each set of equivalent atoms:
Ba 0.0000 0.0000 0.0000 (multiplicity 1)  1 Ca 3.84, 6 Ba 4.05-4.26, 4 La 4.07
Ba 0.5000 0.5000 0.2834 (multiplicity 1)  2 La 3.97-4.36, 6 Ba 4.05-4.26, 4 Ca 4.14
Ca 0.0000 0.0000 0.5395 (multiplicity 1)  5 Ba 3.84-4.14, 4 La 4.00, 2 Ca 4.05
La 0.5000 0.5000 0.7603 (multiplicity 1)  6 Ba 3.97-4.36, 4 Ca 4.00, 2 La 4.05

---

Here is a geometry-optimized BaCaLa2 structure from Alexandria. Energies are from PBE.

## Properties
For the electronic total energy, the calculation gives -3.295 eV per atom. Its density is 4.40 g cm⁻³. Its excess energy over the best structure of this formula in the dataset is 86.3 meV per atom. The formation energy is 14 kJ per mole of atoms.

Lattice parameters (Å, degrees): 4.2181 6.2815 12.9639 90.00 90.00 90.00
Closest atoms and distances in Å follow each position.
Space group Immm (No. 71)
One atom of each set of equivalent atoms:
Ba 0.0000 0.0000 0.0000 (multiplicity 2)  4 Ca 3.78, 4 La 4.00, 2 Ba 4.22
Ca 0.0000 0.0000 0.5000 (multiplicity 2)  4 La 3.74, 4 Ba 3.78
La 0.0000 0.5000 0.2381 (multiplicity 4)  2 Ca 3.74, 4 La 3.80, 2 Ba 4.00

---

Here is a geometry-optimized BaCaLa2 structure from Alexandria. Energies are from PBE.

## Properties
For the electronic total energy, the calculation gives -3.280 eV per atom. Its density is 4.41 g cm⁻³. Its excess energy over the best structure of this formula in the dataset is 102.0 meV per atom. The formation energy is 16 kJ per mole of atoms.

Lattice parameters (Å, degrees): 4.2021 6.3106 6.4672 90.00 90.00 90.00
Closest atoms and distances in Å follow each position.
Space group Pmmm (No. 47)
One atom of each set of equivalent atoms:
Ba 0.0000 0.0000 0.0000 (multiplicity 1)  4 Ca 3.79, 4 La 3.86, 2 Ba 4.20
Ca 0.5000 0.5000 0.0000 (multiplicity 1)  4 Ba 3.79, 4 La 3.86, 2 Ca 4.20
La 0.0000 0.5000 0.5000 (multiplicity 1)  6 La 3.79-4.20, 4 Ca 3.86
La 0.5000 0.0000 0.5000 (multiplicity 1)  6 La 3.79-4.20, 4 Ba 3.86